# 1
Computed, not measured: crystalline Pm2GdTm at its relaxed geometry at the PBE level of DFT.

The calculation puts the total moment at 7.213 μB per cell. As for the formation energy: 0.019 eV per atom. The energy above the most stable polymorph in this dataset comes out at 4.7 meV per atom.

The space group is P4/mmm (No. 123) and the conventional cell measures 3.6033, 3.6033 and 10.1064 Å, with angles of 90.00, 90.00 and 90.00 degrees. The asymmetric unit holds Pm at (0.0000, 0.0000, 0.2460), Gd at (0.5000, 0.5000, 0.5000) and Tm at (0.5000, 0.5000, 0.0000).



# 2
Computed, not measured: crystalline Tb2Pm3Nd6Tl at its relaxed geometry at the PBE level of DFT.

The calculation puts the total moment at 0.000 μB per cell. As for the formation energy: -0.013 eV per atom.

The space group is C2/m (No. 12) and the conventional cell measures 6.2596, 10.9079 and 11.9298 Å, with angles of 90.00, 100.44 and 90.00 degrees. The asymmetric unit holds Tb at (0.0000, 0.1654, 0.0000), Pm at (0.0000, 0.0000, 0.5000), Pm at (0.0000, 0.3313, 0.5000), Nd at (0.2437, 0.3366, 0.2447), Nd at (0.2457, 0.5000, 0.7528) and Tl at (0.0000, 0.5000, 0.0000).